w:
Material: Sn3PbS6
Method: DFT, GGA-PBE
State: optimized geometry

```
data_Sn3PbS6
_chemical_formula_sum 'Sn6 Pb2 S12'
_cell_length_a 11.609
_cell_length_b 3.819
_cell_length_c 11.803
_cell_angle_alpha 90.00
_cell_angle_beta 107.47
_cell_angle_gamma 90.00
_symmetry_space_group_name_H-M 'P 1 21/m 1'
_symmetry_Int_Tables_number 11
loop_
_symmetry_equiv_pos_as_xyz
'x,y,z'
'-x,-y,-z'
'-x,y+1/2,-z'
'x,-y+1/2,z'
loop_
_atom_site_label
_atom_site_fract_x
_atom_site_fract_y
_atom_site_fract_z
_atom_site_occupancy
Sn1 0.042 0.250 0.341 1
Sn2 0.345 0.750 0.449 1
Sn3 0.417 0.250 0.864 1
Pb1 0.160 0.750 0.020 1
S1 0.029 0.250 0.871 1
S2 0.149 0.750 0.500 1
S3 0.261 0.250 0.298 1
S4 0.271 0.750 0.798 1
S5 0.416 0.250 0.084 1
S6 0.448 0.250 0.605 1
```

Crystal system ... monoclinic


x:
Material: Sn3PbS6
Method: DFT, GGA-PBE
State: optimized geometry

```
data_Sn3PbS6
_chemical_formula_sum 'Sn6 Pb2 S12'
_cell_length_a 12.279
_cell_length_b 3.839
_cell_length_c 13.005
_cell_angle_alpha 90.00
_cell_angle_beta 114.76
_cell_angle_gamma 90.00
_symmetry_space_group_name_H-M 'P 1 21/m 1'
_symmetry_Int_Tables_number 11
loop_
_symmetry_equiv_pos_as_xyz
'x,y,z'
'-x,-y,-z'
'-x,y+1/2,-z'
'x,-y+1/2,z'
loop_
_atom_site_label
_atom_site_fract_x
_atom_site_fract_y
_atom_site_fract_z
_atom_site_occupancy
Sn1 0.011 0.250 0.156 1
Sn2 0.308 0.250 0.757 1
Sn3 0.433 0.750 0.582 1
Pb1 0.294 0.250 0.030 1
S1 0.117 0.250 0.796 1
S2 0.141 0.750 0.055 1
S3 0.233 0.750 0.601 1
S4 0.361 0.250 0.430 1
S5 0.398 0.750 0.901 1
S6 0.489 0.750 0.267 1
```

Crystal system ... monoclinic


Result of the stability comparison: x is the most stable of them.